The following is a DFT calculation (PBE-GGA) of a relaxed Cu5Os4 crystal.

Cell lengths 7.3888, 7.3888, 5.0484 Å; angles 90.00, 90.00, 120.00 degrees
With the nearest neighbours (Å) after each atom.
Space group P6_3/mcm (No. 193)
Inequivalent atoms, fractional coordinates:
Cu 0.0000 0.3073 0.2500 [6 per cell]  7 Os 2.46-2.60
Cu 0.3333 0.6667 0.0000 [4 per cell]  2 Cu 2.52, 6 Os 2.68
Os 0.0000 0.0000 0.0000 [2 per cell]  2 Os 2.52, 6 Cu 2.60
Os 0.0000 0.3604 0.7500 [6 per cell]  9 Cu 2.46-2.68

Calculated values
Its offset from the most stable computed form is 349.5 meV per atom. As for the formation energy: 702.3 meV per atom.


The following is a DFT calculation (PBE-GGA) of a relaxed NiPH3 crystal.

Cell lengths 3.3377, 3.3377, 3.3377 Å; angles 90.00, 90.00, 90.00 degrees
With the nearest neighbours (Å) after each atom.
Space group Pm-3m (No. 221)
Inequivalent atoms, fractional coordinates:
Ni 0.0000 0.0000 0.0000 [1 per cell]  6 H 1.67
P 0.5000 0.5000 0.5000 [1 per cell]  12 H 2.36
H 0.0000 0.0000 0.5000 [3 per cell]  2 Ni 1.67

Calculated values
Its offset from the most stable computed form is 0.0 meV per atom.


The following is a DFT calculation (PBE-GGA) of a relaxed ScTe2Pt crystal.

Cell lengths 6.0602, 9.0486, 4.6193 Å; angles 90.00, 129.40, 90.00 degrees
With the nearest neighbours (Å) after each atom.
Space group C2/m (No. 12)
Inequivalent atoms, fractional coordinates:
Sc 0.0000 0.0000 0.0000 [2 per cell]  4 Te 2.88, 2 Pt 3.03
Te 0.2500 0.2500 0.5000 [4 per cell]  2 Sc 2.88, 2 Pt 2.88, 2 Te 3.03
Pt 0.0000 0.5000 0.0000 [2 per cell]  4 Te 2.88, 2 Sc 3.03

Calculated values
The uncorrected formation energy comes out at -0.43 eV/atom.


The following is a DFT calculation (PBE-GGA) of a relaxed Na2Ac3Tl4Cd2 crystal.

Cell lengths 5.1120, 5.1120, 16.4379 Å; angles 90.00, 90.00, 120.00 degrees
With the nearest neighbours (Å) after each atom.
Space group P-3m1 (No. 164)
Inequivalent atoms, fractional coordinates:
Na 0.3333 0.6667 0.0608 [2 per cell]  4 Tl 3.25-3.36, 3 Na 3.56
Ac 0.0000 0.0000 0.2463 [2 per cell]  6 Tl 3.40-3.76, 3 Cd 3.47
Ac 0.0000 0.0000 0.5000 [1 per cell]  6 Tl 3.48, 6 Cd 3.77
Tl 0.3333 0.6667 0.3879 [2 per cell]  3 Cd 2.99
Tl 0.3333 0.6667 0.8561 [2 per cell]  4 Na 3.25-3.36, 3 Ac 3.40, 1 Cd 3.51
Cd 0.3333 0.6667 0.6427 [2 per cell]  3 Tl 2.99

Calculated values
As for the formation energy: -192.4 meV per atom.


The following is a DFT calculation (PBE-GGA) of a relaxed Nd5Cu2Au5 crystal.

Cell lengths 16.3037, 4.1613, 11.5597 Å; angles 90.00, 131.86, 90.00 degrees
With the nearest neighbours (Å) after each atom.
Space group C2/m (No. 12)
Inequivalent atoms, fractional coordinates:
Nd 0.0000 0.0000 0.0000 [2 per cell]  4 Cu 3.03, 6 Au 3.31
Nd 0.1004 0.0000 0.4075 [4 per cell]  3 Cu 3.04-3.37, 7 Au 3.07-3.24
Nd 0.1986 0.0000 0.8161 [4 per cell]  5 Au 3.06-3.19, 1 Cu 3.28
Cu 0.1362 0.5000 0.2531 [4 per cell]  3 Au 2.59-2.70
Au 0.0000 0.5000 0.5000 [2 per cell]  2 Au 3.01, 4 Nd 3.24
Au 0.0710 0.5000 0.8566 [4 per cell]  1 Cu 2.70
Au 0.2409 0.5000 0.6667 [4 per cell]  2 Cu 2.59

Calculated values
As for the formation energy: -635.5 meV per atom.


The following is a DFT calculation (PBE-GGA) of a relaxed Cs2AsI6Cl crystal.

Cell lengths 8.1877, 8.1877, 13.1899 Å; angles 90.00, 90.00, 90.00 degrees
With the nearest neighbours (Å) after each atom.
Space group I4/mmm (No. 139)
Inequivalent atoms, fractional coordinates:
Cs 0.0000 0.5000 0.2500 [4 per cell]  12 I 4.12-4.39
As 0.0000 0.0000 0.0000 [2 per cell]  6 I 2.82-2.88
I 0.0000 0.0000 0.2180 [4 per cell]  1 As 2.88
I 0.2435 0.2435 0.0000 [8 per cell]  1 As 2.82, 1 Cl 2.97
Cl 0.0000 0.0000 0.5000 [2 per cell]  4 I 2.97

Calculated values
The uncorrected formation energy comes out at -0.66 eV/atom.


The following is a DFT calculation (PBE-GGA) of a relaxed Na2Hg6Pb3 crystal.

Cell lengths 4.8601, 4.8601, 29.2310 Å; angles 90.00, 90.00, 90.00 degrees
With the nearest neighbours (Å) after each atom.
Space group I4/mmm (No. 139)
Inequivalent atoms, fractional coordinates:
Na 0.0000 0.0000 0.1497 [4 per cell]  5 Hg 3.05-3.36
Hg 0.0000 0.0000 0.2541 [4 per cell]  1 Na 3.05, 1 Pb 3.16
Hg 0.0000 0.5000 0.0701 [8 per cell]  4 Pb 3.13-3.18, 2 Na 3.36, 4 Hg 3.44
Pb 0.0000 0.0000 0.3624 [4 per cell]  5 Hg 3.13-3.16, 4 Na 3.45
Pb 0.0000 0.0000 0.5000 [2 per cell]  8 Hg 3.18

Calculated values
As for the formation energy: 12.0 meV per atom.


The following is a DFT calculation (PBE-GGA) of a relaxed SrCdPd crystal.

Cell lengths 7.7251, 4.4610, 13.1852 Å; angles 90.00, 90.70, 90.00 degrees
With the nearest neighbours (Å) after each atom.
Space group P2_1/m (No. 11)
Inequivalent atoms, fractional coordinates:
Sr 0.0310 0.2500 0.1228 [2 per cell]  5 Pd 3.21-3.28, 4 Cd 3.46-3.53
Sr 0.1568 0.2500 0.4199 [2 per cell]  5 Pd 3.21-3.27, 5 Cd 3.44-3.55
Sr 0.4655 0.7500 0.7892 [2 per cell]  5 Pd 3.06-3.26, 2 Cd 3.42
Cd 0.1359 0.2500 0.7031 [2 per cell]  4 Pd 2.89-2.99
Cd 0.3566 0.7500 0.0424 [2 per cell]  4 Pd 2.85-2.95
Cd 0.4956 0.7500 0.4136 [2 per cell]  4 Pd 2.89-2.91, 2 Cd 3.19
Pd 0.2363 0.7500 0.2518 [2 per cell]  3 Cd 2.91-2.94, 6 Sr 3.21-3.26
Pd 0.2662 0.7500 0.5872 [2 per cell]  5 Cd 2.89-2.91, 1 Sr 3.06
Pd 0.2666 0.2500 0.9177 [2 per cell]  4 Cd 2.85-2.99

Calculated values
As for the formation energy: -566.1 meV per atom.


The following is a DFT calculation (PBE-GGA) of a relaxed SrLa4Si4 crystal.

Cell lengths 9.7942, 9.7942, 6.1040 Å; angles 90.00, 90.00, 90.00 degrees
With the nearest neighbours (Å) after each atom.
Space group P4_2/n (No. 86, origin choice 2)
Inequivalent atoms, fractional coordinates:
Sr 0.2500 0.2500 0.2500 [2 per cell]  4 Si 3.42
La 0.1062 0.6358 0.1236 [8 per cell]  5 Si 3.03-3.17
Si 0.0474 0.5835 0.6272 [8 per cell]  1 Si 2.44

Calculated values
The uncorrected formation energy comes out at -0.43 eV/atom.


The following is a DFT calculation (PBE-GGA) of a relaxed KSr2SbO crystal.

Cell lengths 5.1661, 5.1661, 5.1691 Å; angles 90.00, 90.00, 90.00 degrees
With the nearest neighbours (Å) after each atom.
Space group P4/mmm (No. 123)
Inequivalent atoms, fractional coordinates:
K 0.0000 0.0000 0.0000 [1 per cell]  2 O 2.58
Sr 0.0000 0.5000 0.5000 [2 per cell]  2 O 2.58
Sb 0.5000 0.5000 0.0000 [1 per cell]  4 K 3.65, 8 Sr 3.65
O 0.0000 0.0000 0.5000 [1 per cell]  4 Sr 2.58, 2 K 2.58

Calculated values
The uncorrected formation energy comes out at -1.50 eV/atom.


The following is a DFT calculation (PBE-GGA) of a relaxed NaTiW2C crystal.

Cell lengths 4.1612, 4.1612, 4.4914 Å; angles 90.00, 90.00, 90.00 degrees
With the nearest neighbours (Å) after each atom.
Space group P4/mmm (No. 123)
Inequivalent atoms, fractional coordinates:
Na 0.0000 0.0000 0.0000 [1 per cell]  2 C 2.25
Ti 0.5000 0.5000 0.0000 [1 per cell]  4 Na 2.94, 8 W 3.06
W 0.0000 0.5000 0.5000 [2 per cell]  2 C 2.08
C 0.0000 0.0000 0.5000 [1 per cell]  4 W 2.08, 2 Na 2.25

Calculated values
As for the formation energy: 638.6 meV per atom.


The following is a DFT calculation (PBE-GGA) of a relaxed MoPbCl2 crystal.

Cell lengths 7.1930, 7.1930, 7.1930 Å; angles 90.00, 90.00, 90.00 degrees
With the nearest neighbours (Å) after each atom.
Space group F-43m (No. 216)
Inequivalent atoms, fractional coordinates:
Mo 0.0000 0.0000 0.0000 [4 per cell]  4 Cl 3.11, 4 Pb 3.11
Pb 0.2500 0.2500 0.2500 [4 per cell]  4 Cl 3.11, 4 Mo 3.11
Cl 0.0000 0.0000 0.5000 [4 per cell]  4 Cl 3.11, 4 Pb 3.11
Cl 0.2500 0.2500 0.7500 [4 per cell]  4 Cl 3.11, 4 Mo 3.11

Calculated values
The uncorrected formation energy comes out at 0.55 eV/atom. Its offset from the most stable computed form is 761.6 meV per atom.